No. 1
Density functional theory data (GGA-PBE) for a geometry-optimized AlPRh2 structure.

Lattice parameters (Å, degrees): 3.021 3.118 5.773 90.00 90.00 90.00
Space group Pmmm (No. 47)
One atom of each set of equivalent atoms:
Al1 0.000 0.000 0.000 (multiplicity 1)
P1 0.000 0.000 0.500 (multiplicity 1)
Rh1 0.500 0.500 0.256 (multiplicity 2)

Calculated values
Relative energy among the computed polymorphs = 0.31 eV/f.u.

No. 2
Density functional theory data (GGA-PBE) for a geometry-optimized Sr2WBr structure.

Lattice parameters (Å, degrees): 8.474 8.474 8.291 90.00 90.00 90.00
Space group I-42d (No. 122)
One atom of each set of equivalent atoms:
Sr1 0.235 0.250 0.125 (multiplicity 8)
W1 0.000 0.000 0.500 (multiplicity 4)
Br1 0.000 0.000 0.000 (multiplicity 4)

Calculated values
Relative energy among the computed polymorphs = 1.87 eV/f.u.
Formation energy from raw total energies = 0.6408 eV/atom

No. 3
Density functional theory data (GGA-PBE) for a geometry-optimized PmHgF4 structure.

Lattice parameters (Å, degrees): 6.501 6.501 4.993 90.00 90.00 90.00
Space group I-4 (No. 82)
One atom of each set of equivalent atoms:
Pm1 0.000 0.000 0.000 (multiplicity 2)
Hg1 0.000 0.500 0.750 (multiplicity 2)
F1 0.168 0.793 0.273 (multiplicity 8)

Calculated values
Formation energy from raw total energies = -2.6831 eV/atom

No. 4
Density functional theory data (GGA-PBE) for a geometry-optimized Dy2Zn2Ni5Ge structure.

Lattice parameters (Å, degrees): 9.347 9.347 3.471 90.00 90.00 90.00
Space group P4/mbm (No. 127)
One atom of each set of equivalent atoms:
Dy1 0.178 0.322 0.000 (multiplicity 4)
Zn1 0.120 0.620 0.000 (multiplicity 4)
Ni1 0.000 0.500 0.500 (multiplicity 2)
Ni2 0.056 0.801 0.500 (multiplicity 8)
Ge1 0.000 0.000 0.000 (multiplicity 2)

Calculated values
Final energy = -4.8227 eV per atom

No. 5
Density functional theory data (GGA-PBE) for a geometry-optimized TbYPd4 structure.

Lattice parameters (Å, degrees): 7.714 7.714 7.714 90.00 90.00 90.00
Space group F-43m (No. 216)
One atom of each set of equivalent atoms:
Tb1 0.000 0.000 0.000 (multiplicity 4)
Y1 0.250 0.250 0.750 (multiplicity 4)
Pd1 0.125 0.125 0.375 (multiplicity 16)

Calculated values
Relative energy among the computed polymorphs = 0.49 eV/f.u.

No. 6
Density functional theory data (GGA-PBE) for a geometry-optimized Al2Ni structure.

Lattice parameters (Å, degrees): 4.3237 4.3237 2.6104 90.00 90.00 120.00
Space group P6/mmm (No. 191)
One atom of each set of equivalent atoms:
Al1 0.3333 0.6667 0.0000 (multiplicity 2)
Ni1 0.0000 0.0000 0.5000 (multiplicity 1)

Calculated values
Final energy = -4.4349 eV per atom

No. 7
Density functional theory data (GGA-PBE) for a geometry-optimized La8Co3PCl4 structure.

Lattice parameters (Å, degrees): 14.630 8.072 8.799 90.00 122.10 90.00
Space group C2/m (No. 12)
One atom of each set of equivalent atoms:
La1 0.011 0.235 0.292 (multiplicity 8)
La2 0.240 0.500 0.698 (multiplicity 4)
La3 0.243 0.000 0.703 (multiplicity 4)
Co1 0.000 0.000 0.500 (multiplicity 2)
Co2 0.250 0.250 0.500 (multiplicity 4)
P1 0.000 0.500 0.500 (multiplicity 2)
Cl1 0.000 0.000 0.000 (multiplicity 2)
Cl2 0.000 0.500 0.000 (multiplicity 2)
Cl3 0.250 0.250 0.000 (multiplicity 4)

Calculated values
Formation energy from raw total energies = -1.0796 eV/atom

No. 8
Density functional theory data (GGA-PBE) for a geometry-optimized GdMgTlSn structure.

Lattice parameters (Å, degrees): 7.487 7.487 7.487 90.00 90.00 90.00
Space group F-43m (No. 216)
One atom of each set of equivalent atoms:
Gd1 0.000 0.000 0.000 (multiplicity 4)
Mg1 0.000 0.000 0.500 (multiplicity 4)
Tl1 0.250 0.250 0.250 (multiplicity 4)
Sn1 0.250 0.250 0.750 (multiplicity 4)

Calculated values
Final energy = -5.8041 eV per atom